1.
KCo2Ru GGA-PBEsol optimized geometry; formation energy from the elements = 878 meV per atom; distance to the lowest polymorph of the same formula = 0.1066 eV/atom; mass density = 7.34 g/cm³
1.0
1.332 0.769 9.497
-1.332 0.769 9.497
0.000 -1.538 9.497
K Co Ru
1 2 1
direct
0.000 0.000 0.000 K
0.236 0.236 0.236 Co
0.764 0.764 0.764 Co
0.500 0.500 0.500 Ru


2.
CaNi2AuO GGA-PBEsol optimized geometry; E = -19.301 eV/cell; mass density = 5.40 g/cm³
1.0
4.520 0.000 0.000
0.000 4.520 0.000
0.000 0.000 5.574
Ca Ni Au O
1 2 1 1
direct
0.000 0.000 0.000 Ca
0.000 0.500 0.500 Ni
0.500 0.000 0.500 Ni
0.000 0.000 0.500 Au
0.500 0.500 0.000 O